[1]
{
  "formula": "Tb3Pm5Dy",
  "functional": "PBE",
  "state": "optimized geometry",
  "magmom_total_mub_per_cell": 0.00,
  "space_group": "C2/m (12)",
  "vol_a3_per_atom": 37.68,
  "formation_enthalpy_0k_ev_per_atom": 0.487,
  "n_ef_per_ev_atom": 1.53,
  "lattice": [[7.6345, -5.8397, 0.0000], [7.6345, 5.8397, 0.0000], [-6.3055, 0.0000, 7.6069]],
  "species": ["Tb", "Tb", "Tb", "Tb", "Tb", "Tb", "Pm", "Pm", "Pm", "Pm", "Pm", "Pm", "Pm", "Pm", "Pm", "Pm", "Dy", "Dy"],
  "frac_coords": [[0.0000, 0.0000, 0.0000], [0.0072, 0.0072, 0.3225], [0.4853, 0.4853, 0.1478], [0.5000, 0.5000, 0.5000], [0.5147, 0.5147, 0.8522], [0.9928, 0.9928, 0.6775], [0.1005, 0.6050, 0.7606], [0.2278, 0.2278, 0.7347], [0.2463, 0.7537, 0.5000], [0.2742, 0.2742, 0.4520], [0.3950, 0.8995, 0.2394], [0.6050, 0.1005, 0.7606], [0.7258, 0.7258, 0.5480], [0.7537, 0.2463, 0.5000], [0.7722, 0.7722, 0.2653], [0.8995, 0.3950, 0.2394], [0.2493, 0.2493, 0.0924], [0.7507, 0.7507, 0.9076]]
}

=====

[2]
{
  "formula": "Pm2EuHo",
  "functional": "PBE",
  "state": "optimized geometry",
  "magmom_total_mub_per_cell": 7.91,
  "space_group": "P4/mmm (123)",
  "vol_a3_per_atom": 34.72,
  "formation_enthalpy_0k_ev_per_atom": 0.132,
  "n_ef_per_ev_atom": 1.72,
  "lattice": [[6.0113, 0.0000, 0.0000], [0.0000, 6.0113, 0.0000], [0.0000, 0.0000, 3.8429]],
  "species": ["Pm", "Pm", "Eu", "Ho"],
  "frac_coords": [[0.0000, 0.5000, 0.0000], [0.5000, 0.0000, 0.0000], [0.0000, 0.0000, 0.5000], [0.5000, 0.5000, 0.5000]]
}

=====

[3]
{
  "formula": "Dy3PuSc2Se6",
  "functional": "PBE",
  "state": "optimized geometry",
  "magmom_total_mub_per_cell": 6.10,
  "space_group": "C2/m (12)",
  "vol_a3_per_atom": 22.96,
  "e_form_raw_ev_per_atom": -1.67,
  "n_ef_per_ev_atom": 0.69,
  "lattice": [[8.7638, -2.0006, 0.0000], [8.7638, 2.0006, 0.0000], [-1.8570, 0.0000, 7.8592]],
  "species": ["Dy", "Dy", "Dy", "Pu", "Sc", "Sc", "Se", "Se", "Se", "Se", "Se", "Se"],
  "frac_coords": [[0.0000, 0.0000, 0.0000], [0.3369, 0.3369, 0.6670], [0.6631, 0.6631, 0.3330], [0.0000, 0.0000, 0.5000], [0.3375, 0.3375, 0.1752], [0.6625, 0.6625, 0.8248], [0.1699, 0.1699, 0.5939], [0.1717, 0.1717, 0.0741], [0.4961, 0.4961, 0.2445], [0.5039, 0.5039, 0.7555], [0.8283, 0.8283, 0.9259], [0.8301, 0.8301, 0.4061]]
}

=====

[4]
{
  "formula": "YAlTc2",
  "functional": "PBE",
  "state": "optimized geometry",
  "magmom_total_mub_per_cell": 0.00,
  "space_group": "P4mm (99)",
  "vol_a3_per_atom": 17.97,
  "formation_enthalpy_0k_ev_per_atom": -0.186,
  "n_ef_per_ev_atom": 0.98,
  "lattice": [[3.0979, 0.0000, 0.0000], [0.0000, 3.0979, 0.0000], [0.0000, 0.0000, 7.4891]],
  "species": ["Y", "Al", "Tc", "Tc"],
  "frac_coords": [[0.0000, 0.0000, 0.0000], [0.5000, 0.5000, 0.3088], [0.0000, 0.0000, 0.5208], [0.5000, 0.5000, 0.7066]]
}

=====

[5]
{
  "formula": "Cs2BiHPd",
  "functional": "PBE",
  "state": "optimized geometry",
  "magmom_total_mub_per_cell": 0.22,
  "space_group": "P4/mmm (123)",
  "vol_a3_per_atom": 56.41,
  "energy_ev_per_atom": -2.602,
  "n_ef_per_ev_atom": 0.90,
  "lattice": [[7.4564, 0.0000, 0.0000], [0.0000, 7.4564, 0.0000], [0.0000, 0.0000, 5.0729]],
  "species": ["Cs", "Cs", "Bi", "H", "Pd"],
  "frac_coords": [[0.0000, 0.5000, 0.0000], [0.5000, 0.0000, 0.0000], [0.0000, 0.0000, 0.0000], [0.5000, 0.5000, 0.5000], [0.0000, 0.0000, 0.5000]]
}

=====

[6]
{
  "formula": "LiLa2PdO",
  "functional": "PBE",
  "state": "optimized geometry",
  "magmom_total_mub_per_cell": 0.00,
  "space_group": "P4/mmm (123)",
  "vol_a3_per_atom": 20.47,
  "e_form_raw_ev_per_atom": -1.42,
  "n_ef_per_ev_atom": 0.93,
  "lattice": [[5.0498, 0.0000, 0.0000], [0.0000, 5.0498, 0.0000], [0.0000, 0.0000, 4.0144]],
  "species": ["Li", "La", "La", "Pd", "O"],
  "frac_coords": [[0.0000, 0.0000, 0.0000], [0.0000, 0.5000, 0.5000], [0.5000, 0.0000, 0.5000], [0.5000, 0.5000, 0.0000], [0.0000, 0.0000, 0.5000]]
}

=====

[7]
{
  "formula": "CsHf2NbAl",
  "functional": "PBE",
  "state": "optimized geometry",
  "magmom_total_mub_per_cell": 0.00,
  "space_group": "P4/mmm (123)",
  "vol_a3_per_atom": 29.50,
  "formation_enthalpy_0k_ev_per_atom": 0.927,
  "n_ef_per_ev_atom": 1.09,
  "lattice": [[5.2009, 0.0000, 0.0000], [0.0000, 5.2009, 0.0000], [0.0000, 0.0000, 5.4529]],
  "species": ["Cs", "Hf", "Hf", "Nb", "Al"],
  "frac_coords": [[0.0000, 0.0000, 0.0000], [0.0000, 0.5000, 0.5000], [0.5000, 0.0000, 0.5000], [0.5000, 0.5000, 0.5000], [0.5000, 0.5000, 0.0000]]
}

=====

[8]
{
  "formula": "Tm2Ge4Pt3Rh",
  "functional": "PBE",
  "state": "optimized geometry",
  "magmom_total_mub_per_cell": 0.00,
  "space_group": "P-4m2 (115)",
  "vol_a3_per_atom": 18.22,
  "formation_enthalpy_0k_ev_per_atom": -0.865,
  "n_ef_per_ev_atom": 0.41,
  "lattice": [[4.0801, 0.0000, 0.0000], [0.0000, 4.0801, 0.0000], [0.0000, 0.0000, 10.9470]],
  "species": ["Tm", "Tm", "Ge", "Ge", "Ge", "Ge", "Pt", "Pt", "Pt", "Rh"],
  "frac_coords": [[0.0000, 0.5000, 0.2396], [0.5000, 0.0000, 0.7604], [0.0000, 0.0000, 0.5000], [0.0000, 0.5000, 0.8657], [0.5000, 0.0000, 0.1343], [0.5000, 0.5000, 0.5000], [0.0000, 0.0000, 0.0000], [0.0000, 0.5000, 0.6448], [0.5000, 0.0000, 0.3552], [0.5000, 0.5000, 0.0000]]
}

=====

[9]
{
  "formula": "LiMgSCl",
  "functional": "PBE",
  "state": "optimized geometry",
  "magmom_total_mub_per_cell": 0.00,
  "space_group": "P-6m2 (187)",
  "vol_a3_per_atom": 21.02,
  "e_form_raw_ev_per_atom": -1.56,
  "n_ef_per_ev_atom": 0.00,
  "lattice": [[4.2439, 0.0000, 0.0000], [-2.1220, 3.6754, 0.0000], [0.0000, 0.0000, 5.3909]],
  "species": ["Li", "Mg", "S", "Cl"],
  "frac_coords": [[0.0000, 0.0000, 0.0000], [0.6667, 0.3333, 0.5000], [0.0000, 0.0000, 0.5000], [0.6667, 0.3333, 0.0000]]
}

=====

[10]
{
  "formula": "Fe2AgBr",
  "functional": "PBE",
  "state": "optimized geometry",
  "magmom_total_mub_per_cell": 5.74,
  "space_group": "Fm-3m (225)",
  "vol_a3_per_atom": 16.28,
  "e_form_raw_ev_per_atom": 0.80,
  "n_ef_per_ev_atom": 1.54,
  "lattice": [[0.0000, 3.1930, 3.1930], [3.1930, 0.0000, 3.1930], [3.1930, 3.1930, 0.0000]],
  "species": ["Fe", "Fe", "Ag", "Br"],
  "frac_coords": [[0.2500, 0.2500, 0.2500], [0.7500, 0.7500, 0.7500], [0.0000, 0.0000, 0.0000], [0.5000, 0.5000, 0.5000]]
}

=====

[11]
{
  "formula": "CdP2H10N2O8",
  "functional": "PBE",
  "state": "optimized geometry",
  "magmom_total_mub_per_cell": 0.00,
  "space_group": "P2_1/c (14)",
  "vol_a3_per_atom": 9.86,
  "energy_ev_per_atom": -5.589,
  "n_ef_per_ev_atom": 0.00,
  "lattice": [[6.4881, 0.0000, 0.0000], [0.0000, 10.6850, 0.0000], [-2.8275, 0.0000, 13.0835]],
  "species": ["Cd", "Cd", "Cd", "Cd", "P", "P", "P", "P", "P", "P", "P", "P", "H", "H", "H", "H", "H", "H", "H", "H", "H", "H", "H", "H", "H", "H", "H", "H", "H", "H", "H", "H", "H", "H", "H", "H", "H", "H", "H", "H", "H", "H", "H", "H", "H", "H", "H", "H", "H", "H", "H", "H", "N", "N", "N", "N", "N", "N", "N", "N", "O", "O", "O", "O", "O", "O", "O", "O", "O", "O", "O", "O", "O", "O", "O", "O", "O", "O", "O", "O", "O", "O", "O", "O", "O", "O", "O", "O", "O", "O", "O", "O"],
  "frac_coords": [[0.0412, 0.1805, 0.1492], [0.0412, 0.3195, 0.6492], [0.9588, 0.6805, 0.3508], [0.9588, 0.8195, 0.8508], [0.0524, 0.1825, 0.4177], [0.0524, 0.3175, 0.9177], [0.2627, 0.0290, 0.6035], [0.2627, 0.4710, 0.1035], [0.7373, 0.5290, 0.8965], [0.7373, 0.9710, 0.3965], [0.9476, 0.6825, 0.0823], [0.9476, 0.8175, 0.5823], [0.0768, 0.0756, 0.8974], [0.0768, 0.4244, 0.3974], [0.1027, 0.0514, 0.7823], [0.1027, 0.4486, 0.2823], [0.3064, 0.6886, 0.1107], [0.3064, 0.8114, 0.6107], [0.3130, 0.0367, 0.4370], [0.3130, 0.4633, 0.9370], [0.3855, 0.6823, 0.8763], [0.3855, 0.8177, 0.3763], [0.3884, 0.2005, 0.8712], [0.3884, 0.2995, 0.3712], [0.3895, 0.7142, 0.4632], [0.3895, 0.7858, 0.9632], [0.4154, 0.0367, 0.2385], [0.4154, 0.4633, 0.7385], [0.4350, 0.5939, 0.6138], [0.4350, 0.9061, 0.1138], [0.4853, 0.1216, 0.1528], [0.4853, 0.3784, 0.6528], [0.5147, 0.6216, 0.3472], [0.5147, 0.8784, 0.8472], [0.5650, 0.0939, 0.8862], [0.5650, 0.4061, 0.3862], [0.5846, 0.5367, 0.2615], [0.5846, 0.9633, 0.7615], [0.6105, 0.2142, 0.0368], [0.6105, 0.2858, 0.5368], [0.6116, 0.7005, 0.6288], [0.6116, 0.7995, 0.1288], [0.6145, 0.1823, 0.6237], [0.6145, 0.3177, 0.1237], [0.6870, 0.5367, 0.0630], [0.6870, 0.9633, 0.5630], [0.6936, 0.1886, 0.3893], [0.6936, 0.3114, 0.8893], [0.8973, 0.5514, 0.7177], [0.8973, 0.9486, 0.2177], [0.9232, 0.5756, 0.6026], [0.9232, 0.9244, 0.1026], [0.1900, 0.6207, 0.1072], [0.1900, 0.8793, 0.6072], [0.2164, 0.0759, 0.4811], [0.2164, 0.4241, 0.9811], [0.7836, 0.5759, 0.0189], [0.7836, 0.9241, 0.5189], [0.8100, 0.1207, 0.3928], [0.8100, 0.3793, 0.8928], [0.0419, 0.1981, 0.9793], [0.0419, 0.3019, 0.4793], [0.1096, 0.0108, 0.8497], [0.1096, 0.4892, 0.3497], [0.1270, 0.1079, 0.6588], [0.1270, 0.3921, 0.1588], [0.1342, 0.2074, 0.3211], [0.1342, 0.2926, 0.8211], [0.3393, 0.7312, 0.3884], [0.3393, 0.7688, 0.8884], [0.3718, 0.0648, 0.1657], [0.3718, 0.4352, 0.6657], [0.4661, 0.6798, 0.5934], [0.4661, 0.8202, 0.0934], [0.4983, 0.5305, 0.8580], [0.4983, 0.9695, 0.3580], [0.5017, 0.0305, 0.6420], [0.5017, 0.4695, 0.1420], [0.5339, 0.1798, 0.9066], [0.5339, 0.3202, 0.4066], [0.6282, 0.5648, 0.3343], [0.6282, 0.9352, 0.8343], [0.6607, 0.2312, 0.1116], [0.6607, 0.2688, 0.6116], [0.8658, 0.7074, 0.1789], [0.8658, 0.7926, 0.6789], [0.8730, 0.6079, 0.8412], [0.8730, 0.8921, 0.3412], [0.8904, 0.5108, 0.6503], [0.8904, 0.9892, 0.1503], [0.9581, 0.6981, 0.5207], [0.9581, 0.8019, 0.0207]]
}

=====

[12]
{
  "formula": "ZrMoP2",
  "functional": "PBE",
  "state": "optimized geometry",
  "magmom_total_mub_per_cell": 0.00,
  "space_group": "I-42d (122)",
  "vol_a3_per_atom": 22.14,
  "formation_enthalpy_0k_ev_per_atom": -0.197,
  "n_ef_per_ev_atom": 0.98,
  "lattice": [[-2.7137, 2.7137, 6.0139], [2.7137, -2.7137, 6.0139], [2.7137, 2.7137, -6.0139]],
  "species": ["Zr", "Zr", "Mo", "Mo", "P", "P", "P", "P"],
  "frac_coords": [[0.0000, 0.0000, 0.0000], [0.7500, 0.2500, 0.5000], [0.2500, 0.7500, 0.5000], [0.5000, 0.5000, 0.0000], [0.1631, 0.6250, 0.0381], [0.3750, 0.4131, 0.5381], [0.5869, 0.1250, 0.9619], [0.8750, 0.8369, 0.4619]]
}